#one
The following is a PBE-GGA calculation of crystalline KTl5 at its relaxed geometry, from Alexandria via LeMat-Bulk.

The structure in CIF format:
```
data_KTl5
_chemical_formula_sum 'K1 Tl5'
_symmetry_space_group_name_H-M 'P 4/m m m'
_symmetry_Int_Tables_number 123
_symmetry_space_group_name_Hall '-P 4 2'
_cell_length_a 4.1452
_cell_length_b 4.1452
_cell_length_c 11.4611
_cell_angle_alpha 90.00
_cell_angle_beta 90.00
_cell_angle_gamma 90.00
loop_
_atom_site_label
_atom_site_fract_x
_atom_site_fract_y
_atom_site_fract_z
K1 0.0000 0.0000 0.0000
Tl1 0.0000 0.0000 0.3453
Tl2 0.5000 0.5000 0.1975
Tl3 0.5000 0.5000 0.5000
```

---

#two
The following is a PBE-GGA calculation of crystalline KTl5 at its relaxed geometry, from Alexandria via LeMat-Bulk.

The structure in CIF format:
```
data_KTl5
_chemical_formula_sum 'K2 Tl10'
_symmetry_space_group_name_H-M 'C m m m'
_symmetry_Int_Tables_number 65
_symmetry_space_group_name_Hall '-C 2 2'
_cell_length_a 5.1831
_cell_length_b 14.2906
_cell_length_c 5.1709
_cell_angle_alpha 90.00
_cell_angle_beta 90.00
_cell_angle_gamma 90.00
loop_
_atom_site_label
_atom_site_fract_x
_atom_site_fract_y
_atom_site_fract_z
K1 0.0000 0.0000 0.0000
Tl1 0.0000 0.1741 0.5000
Tl2 0.0000 0.3247 0.0000
Tl3 0.0000 0.5000 0.5000
```

---

#three
The following is a PBE-GGA calculation of crystalline KTl5 at its relaxed geometry, from Alexandria via LeMat-Bulk.

The structure in CIF format:
```
data_KTl5
_chemical_formula_sum 'K2 Tl10'
_symmetry_space_group_name_H-M 'C 1 2/m 1'
_symmetry_Int_Tables_number 12
_cell_length_a 13.8052
_cell_length_b 3.8925
_cell_length_c 7.4991
_cell_angle_alpha 90.00
_cell_angle_beta 105.64
_cell_angle_gamma 90.00
loop_
_symmetry_equiv_pos_as_xyz
'x,y,z'
'-x,-y,-z'
'-x,y,-z'
'x,-y,z'
'x+1/2,y+1/2,z'
'-x+1/2,-y+1/2,-z'
'-x+1/2,y+1/2,-z'
'x+1/2,-y+1/2,z'
loop_
_atom_site_label
_atom_site_fract_x
_atom_site_fract_y
_atom_site_fract_z
K1 0.0000 0.0000 0.0000
Tl1 0.0000 0.0000 0.5000
Tl2 0.1692 0.5000 0.3528
Tl3 0.1810 0.5000 0.8250
```

---

The least stable of them is #one.